Entry 1:
Density functional theory data (PBE-GGA) for a relaxed structure of CeSmZnPt.

The space group is F-43m (No. 216) and the conventional cell measures 7.2035, 7.2035 and 7.2035 Å, with angles of 90.00, 90.00 and 90.00 degrees. Symmetry generates all atoms from Ce at (0.0000, 0.0000, 0.0000), Sm at (0.0000, 0.0000, 0.5000), Zn at (0.2500, 0.2500, 0.2500) and Pt at (0.2500, 0.2500, 0.7500).

Its formation energy is -0.62 eV per atom.



Entry 2:
Density functional theory data (PBE-GGA) for a relaxed structure of Sc2TeOs.

The space group is I-42d (No. 122) and the conventional cell measures 7.5449, 7.5449 and 6.1546 Å, with angles of 90.00, 90.00 and 90.00 degrees. Symmetry generates all atoms from Sc at (0.2026, 0.2500, 0.1250), Te at (0.0000, 0.0000, 0.5000) and Os at (0.0000, 0.0000, 0.0000).

Its formation energy from raw total energies is -0.14 eV/atom.



Entry 3:
Density functional theory data (PBE-GGA) for a relaxed structure of ZrUPaGa.

The space group is F-43m (No. 216) and the conventional cell measures 7.0307, 7.0307 and 7.0307 Å, with angles of 90.00, 90.00 and 90.00 degrees. Symmetry generates all atoms from Zr at (0.0000, 0.0000, 0.0000), U at (0.2500, 0.2500, 0.7500), Pa at (0.0000, 0.0000, 0.5000) and Ga at (0.2500, 0.2500, 0.2500).

Its formation energy is 0.09 eV per atom.



Entry 4:
Density functional theory data (PBE-GGA) for a relaxed structure of Cs2HoThSe4.

The space group is P2/m (No. 10) and the conventional cell measures 7.4081, 4.2780 and 8.7944 Å, with angles of 90.00, 106.22 and 90.00 degrees. Symmetry generates all atoms from Cs at (0.0000, 0.0000, 0.0000), Cs at (0.5000, 0.5000, 0.0000), Ho at (0.0000, 0.5000, 0.5000), Th at (0.5000, 0.0000, 0.5000), Se at (0.2249, 0.0000, 0.6871) and Se at (0.2635, 0.5000, 0.3079).

Its formation energy from raw total energies is -1.61 eV/atom.



Entry 5:
Density functional theory data (PBE-GGA) for a relaxed structure of BaGa3Br.

The space group is Pm-3m (No. 221) and the conventional cell measures 5.5622, 5.5622 and 5.5622 Å, with angles of 90.00, 90.00 and 90.00 degrees. Symmetry generates all atoms from Ba at (0.0000, 0.0000, 0.0000), Ga at (0.0000, 0.5000, 0.5000) and Br at (0.5000, 0.5000, 0.5000).

Its formation energy from raw total energies is 0.01 eV/atom.



Entry 6:
Density functional theory data (PBE-GGA) for a relaxed structure of CdHgBr4.

The space group is F-43m (No. 216) and the conventional cell measures 9.0267, 9.0267 and 9.0267 Å, with angles of 90.00, 90.00 and 90.00 degrees. Symmetry generates all atoms from Cd at (0.0000, 0.0000, 0.0000), Hg at (0.2500, 0.2500, 0.7500) and Br at (0.1273, 0.1273, 0.3727).

Its formation energy from raw total energies is 0.39 eV/atom.



Entry 7:
Density functional theory data (PBE-GGA) for a relaxed structure of Cr2P3.

The space group is P-3m1 (No. 164) and the conventional cell measures 4.0191, 4.0191 and 4.6819 Å, with angles of 90.00, 90.00 and 120.00 degrees. Symmetry generates all atoms from Cr at (0.3333, 0.6667, 0.3552), P at (0.0000, 0.0000, 0.5000) and P at (0.3333, 0.6667, 0.8563).

Its formation energy is -0.04 eV per atom.



Entry 8:
Density functional theory data (PBE-GGA) for a relaxed structure of NdTm2Al6.

The space group is P6/mmm (No. 191) and the conventional cell measures 7.9307, 7.9307 and 3.4850 Å, with angles of 90.00, 90.00 and 120.00 degrees. Symmetry generates all atoms from Nd at (0.0000, 0.0000, 0.0000), Tm at (0.3333, 0.6667, 0.0000) and Al at (0.0000, 0.3361, 0.5000).

Its formation energy is -0.47 eV per atom.



Number 1: spin magnetization 3.20 Bohr magnetons per cell. Number 2: spin magnetization 0.00 Bohr magnetons per cell. Number 3: spin magnetization 13.19 Bohr magnetons per cell. Number 4: spin magnetization 0.00 Bohr magnetons per cell. Number 5: spin magnetization 0.00 Bohr magnetons per cell. Number 6: spin magnetization 0.14 Bohr magnetons per cell. Number 7: spin magnetization 0.00 Bohr magnetons per cell. Number 8: spin magnetization 0.00 Bohr magnetons per cell.